The following is a GGA+U calculation of a geometry-optimized EuVO4 structure, from Alexandria via LeMat-Bulk.

Computed properties:
Magnetic moment: 6.0 μB/f.u.
Space group: No. 88
Uncorrected energy: -8.593 eV/atom

a = 6.877 Å, b = 6.877 Å, c = 6.877 Å
α = 135.57°, β = 135.57°, γ = 64.65°
Fractional coordinates of all 12 atoms:
Eu1 0.375 0.125 0.250
Eu2 0.625 0.875 0.750
V1 0.125 0.375 0.750
V2 0.875 0.625 0.250
O1 0.066 0.206 0.361
O2 0.205 0.566 0.360
O3 0.294 0.156 0.860
O4 0.344 0.705 0.139
O5 0.656 0.295 0.861
O6 0.706 0.844 0.140
O7 0.795 0.434 0.640
O8 0.934 0.794 0.639